Entry 1:
# Sr2AlN PBE relaxed
# - formation energy (no corrections) (kJ/mol of atoms) = 1.21
# - space group = No. 122
# - ΔE to the lowest computed polymorph (kJ/mol of atoms) = 14.79
data_Sr2AlN
_chemical_formula_sum 'Sr4 Al2 N2'
_cell_length_a 7.6433
_cell_length_b 7.6433
_cell_length_c 6.7179
_cell_angle_alpha 55.33
_cell_angle_beta 55.33
_cell_angle_gamma 90.00
_symmetry_space_group_name_H-M 'P 1'
_symmetry_Int_Tables_number 1
_symmetry_space_group_name_Hall 'P 1'
loop_
_atom_site_label
_atom_site_type_symbol
_atom_site_fract_x
_atom_site_fract_y
_atom_site_fract_z
_atom_site_occupancy
Sr1 Sr 0.5276 0.1250 0.2500 1
Sr2 Sr 0.2224 0.6250 0.2500 1
Sr3 Sr 0.3750 0.4724 0.7500 1
Sr4 Sr 0.8750 0.7776 0.7500 1
Al1 Al 0.0000 0.0000 0.0000 1
Al2 Al 0.7500 0.2500 0.5000 1
N1 N 0.5000 0.5000 0.0000 1
N2 N 0.2500 0.7500 0.5000 1

***

Entry 2:
# PrSc2AlPd4 PBE relaxed
# - space group = No. 166
# - formation enthalpy at 0 K (meV per atom) = -837.1
data_PrSc2AlPd4
_chemical_formula_sum 'Pr1 Sc2 Al1 Pd4'
_cell_length_a 4.5711
_cell_length_b 4.5711
_cell_length_c 8.9560
_cell_angle_alpha 75.21
_cell_angle_beta 75.21
_cell_angle_gamma 60.00
_symmetry_space_group_name_H-M 'P 1'
_symmetry_Int_Tables_number 1
_symmetry_space_group_name_Hall 'P 1'
loop_
_atom_site_label
_atom_site_type_symbol
_atom_site_fract_x
_atom_site_fract_y
_atom_site_fract_z
_atom_site_occupancy
Pr1 Pr 0.0000 0.0000 0.0000 1
Sc1 Sc 0.7615 0.7615 0.7154 1
Sc2 Sc 0.2385 0.2385 0.2846 1
Al1 Al 0.5000 0.5000 0.5000 1
Pd1 Pd 0.4001 0.4001 0.7996 1
Pd2 Pd 0.8673 0.8673 0.3980 1
Pd3 Pd 0.1327 0.1327 0.6020 1
Pd4 Pd 0.5999 0.5999 0.2004 1

***

Entry 3:
# YTiSeBr2 PBE relaxed
# - formation energy (no corrections) (kJ/mol of atoms) = -64.20
# - space group = No. 123
# - ΔE to the lowest computed polymorph (kJ/mol of atoms) = 0.00
data_YTiSeBr2
_chemical_formula_sum 'Y1 Ti1 Se1 Br2'
_cell_length_a 5.0639
_cell_length_b 5.0639
_cell_length_c 5.1520
_cell_angle_alpha 90.00
_cell_angle_beta 90.00
_cell_angle_gamma 90.00
_symmetry_space_group_name_H-M 'P 1'
_symmetry_Int_Tables_number 1
_symmetry_space_group_name_Hall 'P 1'
loop_
_atom_site_label
_atom_site_type_symbol
_atom_site_fract_x
_atom_site_fract_y
_atom_site_fract_z
_atom_site_occupancy
Y1 Y 0.5000 0.5000 0.5000 1
Se1 Se 0.0000 0.0000 0.5000 1
Br1 Br 0.0000 0.5000 0.0000 1
Br2 Br 0.5000 0.0000 0.0000 1
Ti1 Ti 0.0000 0.0000 0.0000 1

***

Entry 4:
# Ca6Bi4P PBE relaxed
# - space group = No. 167
# - formation enthalpy at 0 K (meV per atom) = -792.9
data_Ca6Bi4P
_chemical_formula_sum 'Ca12 Bi8 P2'
_cell_length_a 8.9234
_cell_length_b 8.9234
_cell_length_c 8.9234
_cell_angle_alpha 89.31
_cell_angle_beta 89.31
_cell_angle_gamma 90.69
_symmetry_space_group_name_H-M 'P 1'
_symmetry_Int_Tables_number 1
_symmetry_space_group_name_Hall 'P 1'
loop_
_atom_site_label
_atom_site_type_symbol
_atom_site_fract_x
_atom_site_fract_y
_atom_site_fract_z
_atom_site_occupancy
Ca1 Ca 0.6992 0.0638 0.0739 1
Ca2 Ca 0.0739 0.3008 0.0638 1
Ca3 Ca 0.5739 0.4362 0.1992 1
Ca4 Ca 0.9362 0.0739 0.6992 1
Ca5 Ca 0.5638 0.1992 0.5739 1
Ca6 Ca 0.1992 0.4261 0.4362 1
Ca7 Ca 0.8008 0.5739 0.5638 1
Ca8 Ca 0.4362 0.8008 0.4261 1
Ca9 Ca 0.0638 0.9261 0.3008 1
Ca10 Ca 0.4261 0.5638 0.8008 1
Ca11 Ca 0.9261 0.6992 0.9362 1
Ca12 Ca 0.3008 0.9362 0.9261 1
Bi1 Bi 0.3723 0.1277 0.2500 1
Bi2 Bi 0.8723 0.2500 0.3723 1
Bi3 Bi 0.2500 0.6277 0.1277 1
Bi4 Bi 0.2500 0.2500 0.7500 1
Bi5 Bi 0.7500 0.7500 0.2500 1
Bi6 Bi 0.7500 0.3723 0.8723 1
Bi7 Bi 0.1277 0.7500 0.6277 1
Bi8 Bi 0.6277 0.8723 0.7500 1
P1 P 0.5000 0.5000 0.5000 1
P2 P 0.0000 0.0000 0.0000 1

***

Entry 5:
# CaFe2Hg PBE relaxed
# - space group = No. 12
# - formation enthalpy at 0 K (meV per atom) = 572.7
data_CaFe2Hg
_chemical_formula_sum 'Ca1 Fe2 Hg1'
_cell_length_a 5.1429
_cell_length_b 5.6351
_cell_length_c 2.9986
_cell_angle_alpha 76.28
_cell_angle_beta 86.38
_cell_angle_gamma 116.07
_symmetry_space_group_name_H-M 'P 1'
_symmetry_Int_Tables_number 1
_symmetry_space_group_name_Hall 'P 1'
loop_
_atom_site_label
_atom_site_type_symbol
_atom_site_fract_x
_atom_site_fract_y
_atom_site_fract_z
_atom_site_occupancy
Ca1 Ca 0.5000 0.5000 0.0000 1
Hg1 Hg 0.0000 0.5000 0.5000 1
Fe1 Fe 0.0000 0.0000 0.0000 1
Fe2 Fe 0.5000 0.0000 0.5000 1

***

Entry 6:
# Ac2UP3Ir12 PBE relaxed
# - space group = No. 166
# - formation enthalpy at 0 K (meV per atom) = -65.9
data_Ac2UP3Ir12
_chemical_formula_sum 'Ac2 U1 P3 Ir12'
_cell_length_a 7.7776
_cell_length_b 7.7776
_cell_length_c 7.7776
_cell_angle_alpha 63.25
_cell_angle_beta 63.25
_cell_angle_gamma 63.25
_symmetry_space_group_name_H-M 'P 1'
_symmetry_Int_Tables_number 1
_symmetry_space_group_name_Hall 'P 1'
loop_
_atom_site_label
_atom_site_type_symbol
_atom_site_fract_x
_atom_site_fract_y
_atom_site_fract_z
_atom_site_occupancy
Ac1 Ac 0.6050 0.6050 0.6050 1
Ac2 Ac 0.3950 0.3950 0.3950 1
U1 U 0.0000 0.0000 0.0000 1
P1 P 0.5000 0.0000 0.0000 1
P2 P 0.0000 0.5000 0.0000 1
P3 P 0.0000 0.0000 0.5000 1
Ir1 Ir 0.3411 0.3411 0.9081 1
Ir2 Ir 0.8716 0.8716 0.3826 1
Ir3 Ir 0.3826 0.8716 0.8716 1
Ir4 Ir 0.9081 0.3411 0.3411 1
Ir5 Ir 0.8716 0.3826 0.8716 1
Ir6 Ir 0.3411 0.9081 0.3411 1
Ir7 Ir 0.6589 0.6589 0.0919 1
Ir8 Ir 0.1284 0.1284 0.6174 1
Ir9 Ir 0.6174 0.1284 0.1284 1
Ir10 Ir 0.0919 0.6589 0.6589 1
Ir11 Ir 0.1284 0.6174 0.1284 1
Ir12 Ir 0.6589 0.0919 0.6589 1

***

Entry 7:
# CoReTe2 PBE relaxed
# - formation energy (no corrections) (kJ/mol of atoms) = 68.79
# - space group = No. 166
# - ΔE to the lowest computed polymorph (kJ/mol of atoms) = 58.02
data_CoReTe2
_chemical_formula_sum 'Co1 Re1 Te2'
_cell_length_a 8.8743
_cell_length_b 8.8743
_cell_length_c 8.8743
_cell_angle_alpha 21.87
_cell_angle_beta 21.87
_cell_angle_gamma 21.87
_symmetry_space_group_name_H-M 'P 1'
_symmetry_Int_Tables_number 1
_symmetry_space_group_name_Hall 'P 1'
loop_
_atom_site_label
_atom_site_type_symbol
_atom_site_fract_x
_atom_site_fract_y
_atom_site_fract_z
_atom_site_occupancy
Re1 Re 0.5000 0.5000 0.5000 1
Te1 Te 0.0934 0.0934 0.0934 1
Te2 Te 0.9066 0.9066 0.9066 1
Co1 Co 0.0000 0.0000 0.0000 1

***

Entry 8:
# Na2Ce2Cl7 PBE relaxed
# - formation energy (no corrections) (kJ/mol of atoms) = -181.59
# - space group = No. 65
# - ΔE to the lowest computed polymorph (kJ/mol of atoms) = 9.42
data_Na2Ce2Cl7
_chemical_formula_sum 'Na2 Ce2 Cl7'
_cell_length_a 7.3168
_cell_length_b 7.1872
_cell_length_c 7.1872
_cell_angle_alpha 103.52
_cell_angle_beta 90.00
_cell_angle_gamma 90.00
_symmetry_space_group_name_H-M 'P 1'
_symmetry_Int_Tables_number 1
_symmetry_space_group_name_Hall 'P 1'
loop_
_atom_site_label
_atom_site_type_symbol
_atom_site_fract_x
_atom_site_fract_y
_atom_site_fract_z
_atom_site_occupancy
Na1 Na 0.0000 0.2781 0.2781 1
Na2 Na 0.0000 0.7219 0.7219 1
Ce1 Ce 0.5000 0.2963 0.7037 1
Ce2 Ce 0.5000 0.7037 0.2963 1
Cl1 Cl 0.2636 0.0000 0.5000 1
Cl2 Cl 0.7364 0.5000 0.0000 1
Cl3 Cl 0.7364 0.0000 0.5000 1
Cl4 Cl 0.2636 0.5000 0.0000 1
Cl5 Cl 0.0000 0.0000 0.0000 1
Cl6 Cl 0.7369 0.5000 0.5000 1
Cl7 Cl 0.2631 0.5000 0.5000 1

***

Entry 9:
# Ti4BeC2 PBE relaxed
# - space group = No. 63
# - ΔE to the lowest computed polymorph (kJ/mol of atoms) = 0.00
# - formation enthalpy at 0 K (meV per atom) = -548.2
data_Ti4BeC2
_chemical_formula_sum 'Ti8 Be2 C4'
_cell_length_a 3.1198
_cell_length_b 5.3637
_cell_length_c 10.7906
_cell_angle_alpha 90.00
_cell_angle_beta 90.00
_cell_angle_gamma 106.91
_symmetry_space_group_name_H-M 'P 1'
_symmetry_Int_Tables_number 1
_symmetry_space_group_name_Hall 'P 1'
loop_
_atom_site_label
_atom_site_type_symbol
_atom_site_fract_x
_atom_site_fract_y
_atom_site_fract_z
_atom_site_occupancy
Ti1 Ti 0.7628 0.5256 0.1096 1
Ti2 Ti 0.7628 0.5256 0.3904 1
Ti3 Ti 0.2372 0.4744 0.8904 1
Ti4 Ti 0.2372 0.4744 0.6096 1
Ti5 Ti 0.9329 0.8657 0.7500 1
Ti6 Ti 0.0671 0.1343 0.2500 1
Ti7 Ti 0.5000 0.0000 0.0000 1
Ti8 Ti 0.5000 0.0000 0.5000 1
Be1 Be 0.6139 0.2278 0.7500 1
Be2 Be 0.3861 0.7722 0.2500 1
C1 C 0.1354 0.2708 0.4397 1
C2 C 0.8646 0.7292 0.9397 1
C3 C 0.1354 0.2708 0.0603 1
C4 C 0.8646 0.7292 0.5603 1

***

Entry 10:
# NaSmIr4 PBE relaxed
# - space group = No. 216
# - formation enthalpy at 0 K (meV per atom) = -330.0
data_NaSmIr4
_chemical_formula_sum 'Na1 Sm1 Ir4'
_cell_length_a 5.3433
_cell_length_b 5.3433
_cell_length_c 5.3433
_cell_angle_alpha 60.00
_cell_angle_beta 60.00
_cell_angle_gamma 60.00
_symmetry_space_group_name_H-M 'P 1'
_symmetry_Int_Tables_number 1
_symmetry_space_group_name_Hall 'P 1'
loop_
_atom_site_label
_atom_site_type_symbol
_atom_site_fract_x
_atom_site_fract_y
_atom_site_fract_z
_atom_site_occupancy
Na1 Na 0.0000 0.0000 0.0000 1
Ir1 Ir 0.6253 0.6253 0.1242 1
Ir2 Ir 0.6253 0.1242 0.6253 1
Ir3 Ir 0.6253 0.6253 0.6253 1
Ir4 Ir 0.1242 0.6253 0.6253 1
Sm1 Sm 0.2500 0.2500 0.2500 1

***

Entry 11:
# Cd3Ag6Sn PBE relaxed
# - space group = No. 14
# - ΔE to the lowest computed polymorph (kJ/mol of atoms) = 5.80
# - formation enthalpy at 0 K (meV per atom) = 42.4
data_Cd3Ag6Sn
_chemical_formula_sum 'Cd6 Ag12 Sn2'
_cell_length_a 7.7156
_cell_length_b 7.9954
_cell_length_c 6.6031
_cell_angle_alpha 90.00
_cell_angle_beta 89.85
_cell_angle_gamma 90.00
_symmetry_space_group_name_H-M 'P 1'
_symmetry_Int_Tables_number 1
_symmetry_space_group_name_Hall 'P 1'
loop_
_atom_site_label
_atom_site_type_symbol
_atom_site_fract_x
_atom_site_fract_y
_atom_site_fract_z
_atom_site_occupancy
Cd1 Cd 0.6676 0.8444 0.7461 1
Cd2 Cd 0.5000 0.5000 0.0000 1
Cd3 Cd 0.3324 0.1556 0.2539 1
Cd4 Cd 0.1676 0.6556 0.2461 1
Cd5 Cd 0.0000 0.0000 0.5000 1
Cd6 Cd 0.8324 0.3444 0.7539 1
Ag1 Ag 0.6205 0.1409 0.9912 1
Ag2 Ag 0.6299 0.1381 0.5089 1
Ag3 Ag 0.8094 0.3581 0.2463 1
Ag4 Ag 0.1906 0.6419 0.7537 1
Ag5 Ag 0.3701 0.8619 0.4911 1
Ag6 Ag 0.3795 0.8591 0.0088 1
Ag7 Ag 0.1205 0.3591 0.4912 1
Ag8 Ag 0.1299 0.3619 0.0089 1
Ag9 Ag 0.3094 0.1419 0.7463 1
Ag10 Ag 0.6906 0.8581 0.2537 1
Ag11 Ag 0.8701 0.6381 0.9911 1
Ag12 Ag 0.8795 0.6409 0.5088 1
Sn1 Sn 0.5000 0.5000 0.5000 1
Sn2 Sn 0.0000 0.0000 0.0000 1

***

Entry 12:
# Ti2VTe4 PBE relaxed
# - formation energy (no corrections) (kJ/mol of atoms) = -54.02
# - space group = No. 9
# - ΔE to the lowest computed polymorph (kJ/mol of atoms) = 3.68
data_Ti2VTe4
_chemical_formula_sum 'Ti4 V2 Te8'
_cell_length_a 7.4179
_cell_length_b 7.4179
_cell_length_c 7.9675
_cell_angle_alpha 105.46
_cell_angle_beta 105.46
_cell_angle_gamma 115.89
_symmetry_space_group_name_H-M 'P 1'
_symmetry_Int_Tables_number 1
_symmetry_space_group_name_Hall 'P 1'
loop_
_atom_site_label
_atom_site_type_symbol
_atom_site_fract_x
_atom_site_fract_y
_atom_site_fract_z
_atom_site_occupancy
Ti1 Ti 0.4916 0.2526 0.5255 1
Ti2 Ti 0.7651 0.0202 0.0084 1
Ti3 Ti 0.0202 0.7651 0.5084 1
Ti4 Ti 0.2526 0.4916 0.0255 1
V1 V 0.2470 0.4919 0.4705 1
V2 V 0.4919 0.2470 0.9705 1
Te1 Te 0.8022 0.3049 0.8380 1
Te2 Te 0.3049 0.8022 0.3380 1
Te3 Te 0.2943 0.7794 0.8315 1
Te4 Te 0.7794 0.2943 0.3315 1
Te5 Te 0.1750 0.2132 0.6599 1
Te6 Te 0.7142 0.7097 0.1677 1
Te7 Te 0.7097 0.7142 0.6677 1
Te8 Te 0.2132 0.1750 0.1599 1

***

| no. | total magnetic moment (μB per atom) |
| --- | --- |
| 1 | 0.0000 |
| 2 | 0.0000 |
| 3 | 0.5612 |
| 4 | 0.0000 |
| 5 | 1.2286 |
| 6 | 0.0000 |
| 7 | 0.4019 |
| 8 | 0.2729 |
| 9 | 0.0000 |
| 10 | 0.0002 |
| 11 | 0.0000 |
| 12 | 0.1365 |